[1]
Entry from Alexandria via LeMat-Bulk: crystalline SrEuGaHg at its relaxed geometry (PBE).

Values from the calculation:
As for the symmetry: F-43m, No. 216. Its formation energy is -180 kJ/mol of formula units.

Structure (extended XYZ):
```
4
Lattice="5.513 0.000 0.000 2.757 4.775 0.000 2.757 1.592 4.501" Properties=species:S:1:pos:R:3 pbc="T T T"
Eu 5.513 3.183 2.251
Sr 0.000 0.000 0.000
Hg 8.270 4.775 3.376
Ga 2.757 1.592 1.125
```

---

[2]
Entry from Alexandria via LeMat-Bulk: crystalline LiTi3As at its relaxed geometry (PBE).

Values from the calculation:
As for the symmetry: Pm-3m, No. 221. Its formation energy is 126 kJ/mol of formula units.

Structure (extended XYZ):
```
5
Lattice="-1.857 1.925 3.941 -4.364 -0.372 -1.874 -0.450 -4.341 1.909" Properties=species:S:1:pos:R:3 pbc="T T T"
As 0.000 0.000 0.000
Li -3.335 -1.394 1.988
Ti -2.182 -0.186 -0.937
Ti -0.225 -2.171 0.954
Ti -0.929 0.963 1.971
```

---

[3]
Entry from Alexandria via LeMat-Bulk: crystalline Cd7GaHg12 at its relaxed geometry (PBE).

Values from the calculation:
As for the symmetry: R-3, No. 148. Its formation energy is 73 kJ/mol of formula units.

Structure (extended XYZ):
```
20
Lattice="8.320 0.051 0.076 -2.265 8.006 0.076 -2.265 -3.013 7.417" Properties=species:S:1:pos:R:3 pbc="T T T"
Cd -0.630 5.354 0.479
Cd -1.527 4.942 6.570
Cd 5.172 6.099 2.445
Cd 1.895 2.522 3.785
Cd -1.381 -1.056 5.125
Cd 5.318 0.102 1.000
Cd 4.421 -0.310 7.091
Ga 0.000 0.000 0.000
Hg 4.656 0.719 4.193
Hg 4.394 2.974 1.643
Hg 2.282 -0.160 2.209
Hg 4.579 3.832 4.737
Hg 1.635 -0.428 5.291
Hg 2.408 2.267 6.867
Hg 1.382 2.776 0.703
Hg 2.156 5.471 2.279
Hg -0.788 1.211 2.833
Hg 1.508 5.203 5.361
Hg -0.604 2.069 5.927
Hg -0.865 4.324 3.378
```

---

[4]
Entry from Alexandria via LeMat-Bulk: crystalline MnBeSe2 at its relaxed geometry (PBE).

Values from the calculation:
As for the uncorrected formation energy: -0.350 eV/atom. As for the symmetry: P-1, No. 2.

Structure (extended XYZ):
```
8
Lattice="6.517 -0.086 0.002 2.453 6.814 -0.016 -0.001 0.031 3.521" Properties=species:S:1:pos:R:3 pbc="T T T"
Be 3.693 0.899 2.319
Be 5.570 1.324 0.553
Mn 1.893 0.515 0.561
Mn 0.851 1.798 2.310
Se 5.124 2.660 2.303
Se 2.007 2.890 0.541
Se 3.190 6.236 2.316
Se 6.590 6.377 0.556
```

---

[5]
Entry from Alexandria via LeMat-Bulk: crystalline Tb3Sm2Dy3 at its relaxed geometry (PBE).

Values from the calculation:
As for the symmetry: Pmmn, No. 59. Its formation energy is 13 kJ/mol of formula units.

Structure (extended XYZ):
```
16
Lattice="6.184 -1.143 0.000 -5.151 6.748 0.000 0.000 0.000 14.556" Properties=species:S:1:pos:R:3 pbc="T T T"
Tb 1.796 4.017 5.461
Tb -0.763 1.587 12.739
Tb 1.796 4.017 1.817
Tb -0.763 1.587 9.095
Tb 2.301 1.025 3.639
Tb -1.268 4.580 10.917
Sm 1.821 4.011 12.737
Sm -0.788 1.594 5.459
Sm 1.821 4.011 9.096
Sm -0.788 1.594 1.818
Dy 2.323 1.020 7.274
Dy -1.290 4.585 14.552
Dy 2.323 1.020 0.004
Dy -1.290 4.585 7.281
Dy -1.310 4.590 3.639
Dy 2.343 1.015 10.917
```

---

[6]
Entry from Alexandria via LeMat-Bulk: crystalline ZnRh2Au at its relaxed geometry (PBE).

Values from the calculation:
As for the symmetry: Immm, No. 71. Its formation energy is -16 kJ/mol of formula units.

Structure (extended XYZ):
```
4
Lattice="5.344 -0.001 -0.004 2.621 4.657 0.004 -3.381 -3.357 2.421" Properties=species:S:1:pos:R:3 pbc="T T T"
Au 2.973 -0.515 1.208
Rh 0.156 0.091 0.000
Rh 3.826 2.237 0.000
Zn 1.611 1.814 1.213
```

---

[7]
Entry from Alexandria via LeMat-Bulk: crystalline NaV3Te at its relaxed geometry (PBE).

Values from the calculation:
As for the uncorrected formation energy: 1.811 eV/atom. As for the symmetry: Pm-3m, No. 221.

Structure (extended XYZ):
```
5
Lattice="4.941 0.000 0.000 0.000 4.941 0.000 0.000 0.000 4.941" Properties=species:S:1:pos:R:3 pbc="T T T"
Na 0.000 0.000 0.000
Te 2.470 2.470 2.470
V 0.000 2.470 0.000
V 0.000 0.000 2.470
V 2.470 0.000 0.000
```

---

[8]
Entry from Alexandria via LeMat-Bulk: crystalline BaSr2LiCd at its relaxed geometry (PBE).

Values from the calculation:
As for the symmetry: P4/mmm, No. 123. Its formation energy is 25 kJ/mol of formula units.

Structure (extended XYZ):
```
5
Lattice="6.207 0.000 0.000 0.000 6.207 0.000 0.000 0.000 5.368" Properties=species:S:1:pos:R:3 pbc="T T T"
Sr 0.000 3.104 0.000
Sr 3.104 0.000 0.000
Li 0.000 0.000 0.000
Ba 3.104 3.104 2.684
Cd 0.000 0.000 2.684
```

---

[9]
Entry from Alexandria via LeMat-Bulk: crystalline CuSbPb at its relaxed geometry (PBE).

Values from the calculation:
As for the uncorrected formation energy: 0.043 eV/atom. As for the symmetry: Cm, No. 8.

Structure (extended XYZ):
```
6
Lattice="5.290 0.000 -0.020 0.000 4.414 0.000 -3.658 0.000 6.750" Properties=species:S:1:pos:R:3 pbc="T T T"
Pb 2.554 0.000 0.516
Pb 0.725 2.207 3.891
Sb -1.803 0.000 3.983
Sb 0.026 2.207 0.607
Cu -0.079 0.000 2.013
Cu -1.908 2.207 5.388
```

---

[10]
Entry from Alexandria via LeMat-Bulk: crystalline SbN at its relaxed geometry (PBE).

Values from the calculation:
As for the uncorrected formation energy: 0.607 eV/atom. As for the symmetry: P6_3/m, No. 176.

Structure (extended XYZ):
```
12
Lattice="7.715 0.000 0.000 -3.858 6.681 0.000 0.000 0.000 4.533" Properties=species:S:1:pos:R:3 pbc="T T T"
Sb 6.103 2.042 1.133
Sb 1.282 6.306 3.400
Sb 2.895 4.264 1.133
Sb -2.245 4.639 3.400
Sb 2.575 0.375 1.133
Sb 0.963 2.418 3.400
N 4.652 0.464 1.133
N 1.925 4.261 3.400
N 4.987 3.797 1.133
N -0.795 6.218 3.400
N 1.933 2.421 1.133
N -1.130 2.884 3.400
```

---

[11]
Entry from Alexandria via LeMat-Bulk: crystalline SrLaGa4 at its relaxed geometry (PBE).

Values from the calculation:
As for the symmetry: Immm, No. 71. Its formation energy is -341 kJ/mol of formula units.

Structure (extended XYZ):
```
6
Lattice="3.911 0.000 1.880 2.089 5.937 0.662 -0.591 -0.876 6.239" Properties=species:S:1:pos:R:3 pbc="T T T"
Sr -0.296 -0.438 3.120
La 1.045 2.968 0.331
Ga 3.453 2.862 5.339
Ga 1.957 2.198 3.442
Ga 2.640 4.562 7.029
Ga 2.769 0.498 1.752
```

---

[12]
Entry from Alexandria via LeMat-Bulk: crystalline CaAs2CSe at its relaxed geometry (PBE).

Values from the calculation:
As for the uncorrected formation energy: 0.427 eV/atom. As for the symmetry: P4/mmm, No. 123.

Structure (extended XYZ):
```
5
Lattice="-2.635 2.227 2.560 0.047 -3.217 2.847 4.288 2.243 2.463" Properties=species:S:1:pos:R:3 pbc="T T T"
C 0.000 0.000 0.000
As 0.024 -1.608 1.423
As -1.318 1.113 1.280
Ca 0.850 0.626 3.935
Se 2.144 1.121 1.231
```